Record 1
An optimized crystal structure of ReNi2Br, computed with GGA-PBE.

Geometry as POSCAR:
```
ReNi2Br
1.0
-5.001 -1.655 2.909
3.265 -3.566 3.583
-0.360 0.528 5.906
Br Ni Re
2 4 2
Cartesian
-0.868 -2.610 3.246
1.019 -2.824 6.368
-2.893 -1.377 3.792
-1.733 -4.233 10.172
1.411 -2.275 4.030
-0.976 -1.501 6.803
-3.114 -1.869 6.031
0.000 0.000 0.000
```

Energy in eV per atom: -5.400
Relative energy among the computed polymorphs in meV/atom: 621
Space-group type: I-42d (122)

***

Record 2
An optimized crystal structure of MnTe2Pb, computed with GGA-PBE.

Geometry as POSCAR:
```
MnTe2Pb
1.0
-0.584 3.814 3.724
-0.740 -1.357 5.135
3.890 0.862 3.589
Te Mn Pb
2 1 1
Cartesian
0.000 0.000 0.000
0.641 0.830 3.112
1.283 1.660 6.224
1.924 2.490 9.336
```

Energy in eV per atom: -4.363
Space-group type: F-43m (216)

***

Record 3
An optimized crystal structure of ErInPt4, computed with GGA-PBE.

Geometry as POSCAR:
```
ErInPt4
1.0
-4.036 1.323 -3.322
-2.264 -3.766 -3.125
-5.010 -1.705 1.032
In Er Pt
1 1 4
Cartesian
-2.827 -1.037 -1.354
0.000 0.000 0.000
-5.936 -0.713 -1.824
-7.065 -2.591 -3.383
-5.052 -3.251 -1.726
-4.566 -1.740 -3.898
```

Energy relative to the elements in eV per atom: -0.81
Energy in eV per atom: -6.051
Space-group type: F-43m (216)

***

Record 4
An optimized crystal structure of Na4SrH6, computed with GGA-PBE.

Geometry as POSCAR:
```
Na4SrH6
1.0
-1.971 2.496 1.407
2.634 -2.825 4.403
12.635 10.455 -0.852
Na H Sr
8 12 2
Cartesian
10.293 10.049 0.886
6.014 2.567 3.868
0.997 0.012 1.375
7.284 7.559 1.089
3.005 0.077 4.071
6.232 4.344 1.022
12.302 10.115 3.583
7.066 5.782 3.936
4.207 1.611 3.033
5.057 4.658 3.116
9.091 8.515 1.924
8.902 6.835 4.640
2.309 1.565 0.458
-0.985 1.248 0.704
10.989 8.562 4.499
5.332 6.476 0.277
8.242 5.468 1.841
12.226 8.765 1.572
1.073 1.361 3.385
4.396 3.292 0.318
2.732 3.328 2.219
10.567 6.798 2.738
```

Energy in eV per atom: -2.733
Space-group type: Cmcm (63)

***

Record 5
An optimized crystal structure of Ac5Pb2O, computed with GGA-PBE.

Geometry as POSCAR:
```
Ac5Pb2O
1.0
-0.077 -7.706 -0.129
1.775 -0.140 7.499
-5.690 3.952 -2.538
Ac O Pb
5 1 2
Cartesian
1.258 -5.969 5.614
-1.524 -3.909 4.247
0.332 -5.897 1.703
1.298 -1.949 5.683
0.373 -1.877 1.771
-0.109 0.001 0.026
-1.565 -0.056 4.330
-2.491 -3.838 0.516
```

Energy in eV per atom: -4.840
Space-group type: I4mm (107)

***

Record 6
An optimized crystal structure of TbSn2Rh5, computed with GGA-PBE.

Geometry as POSCAR:
```
TbSn2Rh5
1.0
4.097 0.000 0.000
2.049 6.588 1.616
2.049 2.798 6.179
Tb Rh Sn
1 5 2
Cartesian
0.000 0.000 0.000
2.049 4.693 3.897
4.097 6.653 3.737
4.097 4.490 1.941
4.097 4.896 5.853
4.097 2.733 4.057
2.049 2.667 2.214
6.146 6.719 5.580
```

Energy relative to the elements in eV per atom: -0.43
Energy in eV per atom: -6.605
Space-group type: Immm (71)

***

Record 7
An optimized crystal structure of Ba2WAu, computed with GGA-PBE.

Geometry as POSCAR:
```
Ba2WAu
1.0
-0.840 5.187 -1.576
-4.290 1.238 -3.187
-4.216 2.843 2.058
W Ba Au
1 2 1
Cartesian
-7.010 6.951 -2.029
-2.337 2.317 -0.676
0.000 0.000 0.000
-4.674 4.634 -1.353
```

Energy relative to the elements in eV per atom: 0.92
Energy in eV per atom: -4.099
Relative energy among the computed polymorphs in meV/atom: 480
Space-group type: F-43m (216)

***

Record 8
An optimized crystal structure of K2BaUI8, computed with GGA-PBE.

Geometry as POSCAR:
```
K2BaUI8
1.0
-8.074 -0.168 0.999
-0.238 -5.482 -5.575
1.022 -7.206 7.050
I K U Ba
8 2 1 1
Cartesian
-2.306 -5.045 2.452
-1.061 -5.810 -2.666
-2.596 -1.232 -0.882
-4.983 -7.811 0.022
-4.694 -11.623 3.356
-0.480 -9.925 1.360
-6.810 -2.930 1.113
-6.229 -7.046 5.140
-3.899 -4.629 -0.532
-3.391 -8.226 3.006
0.000 0.000 0.000
0.511 -3.603 3.525
```

Energy in eV per atom: -3.563
Space-group type: P-1 (2)

***

Record 9
An optimized crystal structure of Na2MgFeSb, computed with GGA-PBE.

Geometry as POSCAR:
```
Na2MgFeSb
1.0
-1.363 2.394 5.163
4.375 -2.209 2.179
3.099 4.765 -1.391
Fe Na Sb Mg
1 2 1 1
Cartesian
3.056 2.475 2.975
-0.681 1.197 2.581
1.550 2.382 -0.696
0.000 0.000 0.000
2.187 -1.105 1.090
```

Energy in eV per atom: -2.729
Space-group type: P4/mmm (123)

***

Record 10
An optimized crystal structure of OsRhPb2, computed with GGA-PBE.

Geometry as POSCAR:
```
OsRhPb2
1.0
1.659 4.310 0.003
-1.659 4.310 0.003
0.000 1.259 5.537
Pb Os Rh
2 1 1
Cartesian
0.000 3.104 4.161
0.000 6.776 1.382
0.000 4.310 0.003
0.000 0.630 2.768
```

Energy relative to the elements in eV per atom: 0.67
Energy in eV per atom: -5.828
Relative energy among the computed polymorphs in meV/atom: 272
Space-group type: C2/m (12)

***

Record 11
An optimized crystal structure of BH3Se, computed with GGA-PBE.

Geometry as POSCAR:
```
BH3Se
1.0
8.894 -0.016 -0.009
0.006 3.282 0.048
0.005 -0.067 4.666
Se H B
2 6 2
Cartesian
2.208 1.433 2.887
6.652 1.467 0.168
4.542 3.109 0.325
1.106 3.104 0.980
5.551 3.081 2.125
3.289 1.445 1.865
0.099 3.081 2.781
7.734 1.449 1.188
1.146 3.087 2.181
5.590 3.099 0.924
```

Energy in eV per atom: -4.144
Relative energy among the computed polymorphs in meV/atom: 0
Space-group type: Pmc2_1 (26)

***

Record 12
An optimized crystal structure of Th4InRh, computed with GGA-PBE.

Geometry as POSCAR:
```
Th4InRh
1.0
5.949 -0.779 0.000
-1.776 8.292 0.000
-2.087 -3.756 7.138
Th In Rh
8 2 2
Cartesian
-1.771 -1.467 6.013
3.290 1.900 1.125
2.053 2.918 4.447
3.858 5.223 1.125
0.034 0.838 2.690
-0.854 4.984 4.447
-1.203 1.856 6.013
2.941 -1.228 2.690
0.599 3.951 1.682
1.487 -0.195 5.456
0.599 3.951 6.942
1.487 -0.195 0.196
```

Energy relative to the elements in eV per atom: -0.31
Energy in eV per atom: -6.938
Space-group type: C2/c (15)